# Tb5YTm, relaxed, DFT PBE
data_Tb5YTm
_chemical_formula_sum 'Tb20 Y4 Tm4'
_cell_length_a 11.7195
_cell_length_b 6.7208
_cell_length_c 12.2793
_cell_angle_alpha 90.00
_cell_angle_beta 111.32
_cell_angle_gamma 90.00
_space_group_name_H-M_alt 'C 1 2/c 1'
_space_group_IT_number 15
loop_
_space_group_symop_operation_xyz
'x,y,z'
'-x,-y,-z'
'-x,y,-z+1/2'
'x,-y,z+1/2'
'x+1/2,y+1/2,z'
'-x+1/2,-y+1/2,-z'
'-x+1/2,y+1/2,-z+1/2'
'x+1/2,-y+1/2,z+1/2'
loop_
_atom_site_label
_atom_site_type_symbol
_atom_site_fract_x
_atom_site_fract_y
_atom_site_fract_z
Tb1 Tb 0.0000 0.0836 0.2500
Tb2 Tb 0.0806 0.2370 0.0028
Tb3 Tb 0.2179 0.1326 0.7422
Y1 Y 0.0000 0.4704 0.7500
Tm1 Tm 0.2500 0.2500 0.5000
# energy above the lowest structure with this stoichiometry: 0 meV per atom
# ΔE_f: 0.1922 eV/atom
# mass density: 7.8 g/cm³

***

# Tb6Y2Tm3, relaxed, DFT PBE
data_Tb6Y2Tm3
_chemical_formula_sum 'Tb18 Y6 Tm9'
_cell_length_a 3.5454
_cell_length_b 3.5454
_cell_length_c 95.3526
_cell_angle_alpha 90.00
_cell_angle_beta 90.00
_cell_angle_gamma 120.00
_space_group_name_H-M_alt 'R -3 m'
_space_group_IT_number 166
_space_group_name_Hall '-R 3 2"'
loop_
_atom_site_label
_atom_site_type_symbol
_atom_site_fract_x
_atom_site_fract_y
_atom_site_fract_z
Tb1 Tb 0.0000 0.0000 0.0901
Tb2 Tb 0.0000 0.0000 0.1819
Tb3 Tb 0.0000 0.0000 0.3634
Y1 Y 0.0000 0.0000 0.4541
Tm1 Tm 0.0000 0.0000 0.0000
Tm2 Tm 0.0000 0.0000 0.2733
# energy above the lowest structure with this stoichiometry: 0 meV per atom
# ΔE_f: 0.0209 eV/atom
# mass density: 7.9 g/cm³

***

# Tb4YTm15, relaxed, DFT PBE
data_Tb4YTm15
_chemical_formula_sum 'Tb4 Y1 Tm15'
_cell_length_a 4.9570
_cell_length_b 4.9570
_cell_length_c 24.7911
_cell_angle_alpha 90.00
_cell_angle_beta 90.00
_cell_angle_gamma 90.00
_space_group_name_H-M_alt 'P 4/m m m'
_space_group_IT_number 123
_space_group_name_Hall '-P 4 2'
loop_
_atom_site_label
_atom_site_type_symbol
_atom_site_fract_x
_atom_site_fract_y
_atom_site_fract_z
Tb1 Tb 0.0000 0.0000 0.1000
Tb2 Tb 0.0000 0.0000 0.2998
Y1 Y 0.0000 0.0000 0.5000
Tm1 Tm 0.0000 0.5000 0.0000
Tm2 Tm 0.0000 0.5000 0.1999
Tm3 Tm 0.0000 0.5000 0.3996
Tm4 Tm 0.5000 0.5000 0.1000
Tm5 Tm 0.5000 0.5000 0.2999
Tm6 Tm 0.5000 0.5000 0.5000
# ΔE_f: 0.0254 eV/atom
# mass density: 8.9 g/cm³

***

# TbYTm5, relaxed, DFT PBE
data_TbYTm5
_chemical_formula_sum 'Tb4 Y4 Tm20'
_cell_length_a 11.5184
_cell_length_b 6.6945
_cell_length_c 12.0065
_cell_angle_alpha 90.00
_cell_angle_beta 109.34
_cell_angle_gamma 90.00
_space_group_name_H-M_alt 'C 1 2/c 1'
_space_group_IT_number 15
loop_
_space_group_symop_operation_xyz
'x,y,z'
'-x,-y,-z'
'-x,y,-z+1/2'
'x,-y,z+1/2'
'x+1/2,y+1/2,z'
'-x+1/2,-y+1/2,-z'
'-x+1/2,y+1/2,-z+1/2'
'x+1/2,-y+1/2,z+1/2'
loop_
_atom_site_label
_atom_site_type_symbol
_atom_site_fract_x
_atom_site_fract_y
_atom_site_fract_z
Tb1 Tb 0.0000 0.0253 0.2500
Y1 Y 0.2500 0.2500 0.0000
Tm1 Tm 0.0000 0.4161 0.7500
Tm2 Tm 0.0773 0.2721 0.4995
Tm3 Tm 0.2209 0.3578 0.2502
# energy above the lowest structure with this stoichiometry: 0 meV per atom
# ΔE_f: 0.1970 eV/atom
# mass density: 8.3 g/cm³

***

# Tb3Y2Tm5, relaxed, DFT PBE
data_Tb3Y2Tm5
_chemical_formula_sum 'Tb12 Y8 Tm20'
_cell_length_a 10.5995
_cell_length_b 15.4935
_cell_length_c 9.4488
_cell_angle_alpha 90.00
_cell_angle_beta 124.12
_cell_angle_gamma 90.00
_space_group_name_H-M_alt 'C 1 2/c 1'
_space_group_IT_number 15
loop_
_space_group_symop_operation_xyz
'x,y,z'
'-x,-y,-z'
'-x,y,-z+1/2'
'x,-y,z+1/2'
'x+1/2,y+1/2,z'
'-x+1/2,-y+1/2,-z'
'-x+1/2,y+1/2,-z+1/2'
'x+1/2,-y+1/2,z+1/2'
loop_
_atom_site_label
_atom_site_type_symbol
_atom_site_fract_x
_atom_site_fract_y
_atom_site_fract_z
Tb1 Tb 0.0000 0.2296 0.2500
Tb2 Tb 0.1501 0.1227 0.0485
Y1 Y 0.1481 0.3781 0.5481
Tm1 Tm 0.0000 0.0250 0.2500
Tm2 Tm 0.0000 0.2698 0.7500
Tm3 Tm 0.0000 0.4738 0.7500
Tm4 Tm 0.2487 0.1173 0.7487
# energy above the lowest structure with this stoichiometry: 0 meV per atom
# ΔE_f: 0.2035 eV/atom
# mass density: 7.8 g/cm³

***

# Tb4Y2Tm5, relaxed, DFT PBE
data_Tb4Y2Tm5
_chemical_formula_sum 'Tb8 Y4 Tm10'
_cell_length_a 16.3492
_cell_length_b 6.6028
_cell_length_c 6.6099
_cell_angle_alpha 90.00
_cell_angle_beta 99.89
_cell_angle_gamma 90.00
_space_group_name_H-M_alt 'C 1 2/m 1'
_space_group_IT_number 12
loop_
_space_group_symop_operation_xyz
'x,y,z'
'-x,-y,-z'
'-x,y,-z'
'x,-y,z'
'x+1/2,y+1/2,z'
'-x+1/2,-y+1/2,-z'
'-x+1/2,y+1/2,-z'
'x+1/2,-y+1/2,z'
loop_
_atom_site_label
_atom_site_type_symbol
_atom_site_fract_x
_atom_site_fract_y
_atom_site_fract_z
Tb1 Tb 0.0877 0.0000 0.4020
Tb2 Tb 0.2451 0.5000 0.8129
Y1 Y 0.1997 0.5000 0.3008
Tm1 Tm 0.0000 0.5000 0.5000
Tm2 Tm 0.0876 0.2400 0.9017
# energy above the lowest structure with this stoichiometry: 111 meV per atom
# ΔE_f: 0.1699 eV/atom
# mass density: 7.8 g/cm³

***

# Tb2Y3Tm8, relaxed, DFT PBE
data_Tb2Y3Tm8
_chemical_formula_sum 'Tb4 Y6 Tm16'
_cell_length_a 14.5973
_cell_length_b 9.0908
_cell_length_c 6.7713
_cell_angle_alpha 90.00
_cell_angle_beta 108.77
_cell_angle_gamma 90.00
_space_group_name_H-M_alt 'C 1 2/m 1'
_space_group_IT_number 12
loop_
_space_group_symop_operation_xyz
'x,y,z'
'-x,-y,-z'
'-x,y,-z'
'x,-y,z'
'x+1/2,y+1/2,z'
'-x+1/2,-y+1/2,-z'
'-x+1/2,y+1/2,-z'
'x+1/2,-y+1/2,z'
loop_
_atom_site_label
_atom_site_type_symbol
_atom_site_fract_x
_atom_site_fract_y
_atom_site_fract_z
Tb1 Tb 0.2167 0.0000 0.4215
Y1 Y 0.0000 0.0000 0.0000
Y2 Y 0.0000 0.1745 0.5000
Tm1 Tm 0.0810 0.5000 0.7301
Tm2 Tm 0.1176 0.3182 0.1757
Tm3 Tm 0.1917 0.0000 0.8941
# energy above the lowest structure with this stoichiometry: 0 meV per atom
# ΔE_f: 0.2323 eV/atom
# mass density: 7.6 g/cm³

***

# Tb5Y5Tm2, relaxed, DFT PBE
data_Tb5Y5Tm2
_chemical_formula_sum 'Tb10 Y10 Tm4'
_cell_length_a 9.6025
_cell_length_b 5.7070
_cell_length_c 14.6534
_cell_angle_alpha 90.00
_cell_angle_beta 103.00
_cell_angle_gamma 90.00
_space_group_name_H-M_alt 'C 1 2/m 1'
_space_group_IT_number 12
loop_
_space_group_symop_operation_xyz
'x,y,z'
'-x,-y,-z'
'-x,y,-z'
'x,-y,z'
'x+1/2,y+1/2,z'
'-x+1/2,-y+1/2,-z'
'-x+1/2,y+1/2,-z'
'x+1/2,-y+1/2,z'
loop_
_atom_site_label
_atom_site_type_symbol
_atom_site_fract_x
_atom_site_fract_y
_atom_site_fract_z
Tb1 Tb 0.0000 0.0000 0.0000
Tb2 Tb 0.1860 0.0000 0.5803
Tb3 Tb 0.2375 0.5000 0.1736
Y1 Y 0.0000 0.5000 0.5000
Y2 Y 0.1192 0.0000 0.3044
Y3 Y 0.1430 0.5000 0.9390
Tm1 Tm 0.0493 0.5000 0.7129
# energy above the lowest structure with this stoichiometry: 176 meV per atom
# ΔE_f: 0.1978 eV/atom
# mass density: 6.7 g/cm³